Density functional theory data (PBE) for a geometry-optimized RbTl2Te6 structure.

Lattice parameters (Å, degrees): 4.558 9.111 9.111 78.87 104.31 104.31
Positions (direct):
Rb 0.998 0.000 0.000
Tl 0.306 0.333 0.333
Tl 0.696 0.667 0.667
Te 0.195 0.910 0.427
Te 0.806 0.090 0.573
Te 0.806 0.573 0.090
Te 0.499 0.263 0.737
Te 0.499 0.737 0.263
Te 0.195 0.427 0.910

## Properties
polymorph energy (0 for the lowest one): 0 meV/atom
E_form (uncorrected): -0.30 eV per atom
space-group type: Cm, No. 8


Density functional theory data (PBE) for a geometry-optimized ScTcSn2 structure.

Lattice parameters (Å, degrees): 4.143 4.143 10.566 78.69 78.69 90.00
Positions (direct):
Sc 0.500 0.500 0.000
Sc 0.250 0.750 0.500
Sn 0.630 0.125 0.250
Sn 0.120 0.625 0.250
Sn 0.375 0.370 0.750
Sn 0.875 0.880 0.750
Tc 0.000 0.000 0.000
Tc 0.750 0.250 0.500

## Properties
polymorph energy (0 for the lowest one): 369 meV/atom
space-group type: I-42d, No. 122
formation energy from the elements: 0.178 eV per atom


Density functional theory data (PBE) for a geometry-optimized BaSb2Se4 structure.

Lattice parameters (Å, degrees): 4.249 7.200 14.417 90.00 90.00 107.16
Positions (direct):
Ba 0.608 0.216 0.750
Ba 0.392 0.784 0.250
Sb 0.134 0.268 0.433
Sb 0.866 0.732 0.933
Sb 0.134 0.268 0.067
Sb 0.866 0.732 0.567
Se 0.767 0.534 0.111
Se 0.767 0.534 0.389
Se 0.233 0.466 0.889
Se 0.233 0.466 0.611
Se 0.934 0.868 0.750
Se 0.066 0.132 0.250
Se 0.500 0.000 0.000
Se 0.500 0.000 0.500

## Properties
polymorph energy (0 for the lowest one): 54 meV/atom
E_form (uncorrected): -0.75 eV per atom
space-group type: Cmcm, No. 63


Density functional theory data (PBE) for a geometry-optimized LiAc2PO6 structure.

Lattice parameters (Å, degrees): 4.153 5.413 5.413 90.00 90.00 90.00
Positions (direct):
Li 0.630 0.500 0.500
Ac 0.113 0.500 0.000
Ac 0.113 0.000 0.500
P 0.595 0.000 0.000
O 0.663 0.216 0.216
O 0.663 0.216 0.784
O 0.140 0.500 0.500
O 0.206 0.000 0.000
O 0.663 0.784 0.784
O 0.663 0.784 0.216

## Properties
E_form (uncorrected): -2.79 eV per atom
space-group type: P4mm, No. 99


Number 1: total magnetic moment 0.00 μB/cell, DOS at the Fermi energy 0.24 states/eV per atom, electronic total energy -27.26 eV per cell. Number 2: total magnetic moment 0.00 μB/cell, DOS at the Fermi energy 0.41 states/eV per atom, electronic total energy -47.98 eV per cell. Number 3: total magnetic moment 0.00 μB/cell, DOS at the Fermi energy 0.04 states/eV per atom, electronic total energy -58.70 eV per cell. Number 4: total magnetic moment 0.00 μB/cell, DOS at the Fermi energy 0.00 states/eV per atom, electronic total energy -73.18 eV per cell.